Entry 1:
# Si2BiTeF, optimized geometry, DFT PBE-GGA
# - energy relative to the elements, uncorrected (eV per atom) = 0.221
# - E (eV per atom) = -3.7273
# - calculated volume (Å³/atom) = 24.25
data_Si2BiTeF
_chemical_formula_sum 'Si2 Bi1 Te1 F1'
_cell_length_a 5.321
_cell_length_b 5.321
_cell_length_c 4.283
_cell_angle_alpha 90.00
_cell_angle_beta 90.00
_cell_angle_gamma 90.00
_space_group_name_H-M_alt 'P 4/m m m'
_space_group_IT_number 123
_space_group_name_Hall '-P 4 2'
loop_
_atom_site_label
_atom_site_fract_x
_atom_site_fract_y
_atom_site_fract_z
_atom_site_occupancy
Si1 0.000 0.500 0.000 1
Bi1 0.000 0.000 0.500 1
Te1 0.500 0.500 0.000 1
F1 0.500 0.500 0.500 1



Entry 2:
# ZrSiBiF2, optimized geometry, DFT PBE-GGA
# - energy relative to the elements, uncorrected (eV per atom) = -0.765
# - E (eV per atom) = -5.0842
# - calculated volume (Å³/atom) = 23.82
data_ZrSiBiF2
_chemical_formula_sum 'Zr1 Si1 Bi1 F2'
_cell_length_a 4.303
_cell_length_b 4.303
_cell_length_c 6.432
_cell_angle_alpha 90.00
_cell_angle_beta 90.00
_cell_angle_gamma 90.00
_space_group_name_H-M_alt 'P 4/m m m'
_space_group_IT_number 123
_space_group_name_Hall '-P 4 2'
loop_
_atom_site_label
_atom_site_fract_x
_atom_site_fract_y
_atom_site_fract_z
_atom_site_occupancy
Zr1 0.000 0.000 0.000 1
Si1 0.500 0.500 0.000 1
Bi1 0.000 0.000 0.500 1
F1 0.000 0.500 0.500 1



| no. | total magnetization (μB per formula unit) |
| --- | --- |
| 1 | 0.0 |
| 2 | 0.0 |